# Cd2SiW

A relaxed Cd2SiW crystal (PBE, the Alexandria database).

Properties
- final energy (eV per cell) = -36.62
- uncorrected formation energy (kcal/mol of atoms) = 10.92
- total moment (μB/cell) = 0.0

abc: 9.3250 2.9093 5.4996
angles: 90.00 100.74 90.00
With the nearest neighbours (Å) after each atom.
Space group Cm (No. 8)
Inequivalent atoms, fractional coordinates:
Cd: 0.0000 0.0000 0.0000  5 Cd 2.76-2.91, 2 Si 2.77, 2 W 2.96
Cd: 0.2414 0.0000 0.7762  5 Cd 2.76-2.91, 2 W 2.96
Si: 0.4818 0.0000 0.4228  3 W 2.62-2.65, 2 Cd 2.77, 2 Si 2.91
W: 0.2455 0.5000 0.3089  3 Si 2.62-2.65, 2 W 2.91